DFT (PBE) results for a geometry-optimized Pa2IrPd structure.

The density of states at the Fermi level comes out at 7.87 states/eV per cell. The uncorrected energy comes out at -8.77 eV/atom. The formation energy is -0.51 eV per atom. As for the space group: P4/mmm, No. 123.

a b c (Å): 3.5451 3.5451 6.7559
angles (deg): 90.00 90.00 90.00
Closest atoms and distances in Å follow each position.
Fractional positions:
Ir 0.5000 0.5000 0.0000  8 Pa 2.95
Pa 0.0000 0.0000 0.2308  4 Ir 2.95, 4 Pd 3.10, 1 Pa 3.12
Pa 0.0000 0.0000 0.7692  4 Ir 2.95, 4 Pd 3.10, 1 Pa 3.12
Pd 0.5000 0.5000 0.5000  8 Pa 3.10, 2 Ir 3.38

***

DFT (PBE) results for a geometry-optimized PaIrPd structure.

The density of states at the Fermi level comes out at 2.25 states/eV per cell. The uncorrected energy comes out at -8.47 eV/atom. The formation energy is -0.62 eV per atom. The value obtained for the energy relative to the lowest polymorph listed for this composition is 0.0 kJ per mole of atoms. As for the space group: I4mm, No. 107.

a b c (Å): 3.6101 3.6101 5.1826
angles (deg): 110.38 110.38 90.00
Closest atoms and distances in Å follow each position.
Fractional positions:
Pd 0.3344 0.3344 0.6688  5 Pa 2.86-3.04, 5 Ir 2.89-3.02
Pa 0.6514 0.6514 0.3027  4 Ir 2.84, 5 Pd 2.86-3.04
Ir 0.0143 0.0143 0.0285  4 Pa 2.84, 5 Pd 2.89-3.02

***

DFT (PBE) results for a geometry-optimized PaIrPd structure.

The density of states at the Fermi level comes out at 4.30 states/eV per cell. The uncorrected energy comes out at -8.42 eV/atom. The formation energy is -0.57 eV per atom. The value obtained for the energy relative to the lowest polymorph listed for this composition is 4.6 kJ per mole of atoms. As for the space group: Cmcm, No. 63.

a b c (Å): 3.5645 3.7033 9.2920
angles (deg): 90.00 101.06 90.00
Closest atoms and distances in Å follow each position.
Fractional positions:
Pd 0.0530 0.3473 0.1060  2 Pd 2.68, 1 Ir 2.78, 4 Pa 2.96
Pd 0.9470 0.8473 0.8940  2 Pd 2.68, 1 Ir 2.78, 4 Pa 2.96
Pa 0.3660 0.3470 0.7321  5 Ir 2.88-2.93, 4 Pd 2.96
Pa 0.6340 0.8470 0.2679  5 Ir 2.88-2.93, 4 Pd 2.96
Ir 0.7944 0.8467 0.5889  1 Pd 2.78, 5 Pa 2.88-2.93, 4 Ir 3.04
Ir 0.2056 0.3467 0.4111  1 Pd 2.78, 5 Pa 2.88-2.93, 4 Ir 3.04

***

DFT (PBE) results for a geometry-optimized PaIrPd structure.

The density of states at the Fermi level comes out at 4.68 states/eV per cell. The uncorrected energy comes out at -8.41 eV/atom. The formation energy is -0.56 eV per atom. The value obtained for the energy relative to the lowest polymorph listed for this composition is 5.9 kJ per mole of atoms. As for the space group: Immm, No. 71.

a b c (Å): 3.7925 6.0867 6.0867
angles (deg): 70.24 71.85 71.85
Closest atoms and distances in Å follow each position.
Fractional positions:
Pd 0.8529 0.1471 0.1471  2 Ir 2.68, 1 Pd 2.71, 4 Pa 2.97
Pd 0.1471 0.8529 0.8529  2 Ir 2.68, 1 Pd 2.71, 4 Pa 2.97
Pa 0.5000 0.7361 0.2639  4 Ir 2.86, 4 Pd 2.97
Pa 0.5000 0.2639 0.7361  4 Ir 2.86, 4 Pd 2.97
Ir 0.8533 0.6467 0.6467  2 Pd 2.68, 1 Ir 2.70, 4 Pa 2.86
Ir 0.1467 0.3533 0.3533  2 Pd 2.68, 1 Ir 2.70, 4 Pa 2.86

***

DFT (PBE) results for a geometry-optimized PmPaIrPd structure.

The density of states at the Fermi level comes out at 6.03 states/eV per cell. The uncorrected energy comes out at -7.64 eV/atom. The formation energy is -0.56 eV per atom. The value obtained for the energy relative to the lowest polymorph listed for this composition is 22.6 kJ per mole of atoms. As for the space group: F-43m, No. 216.

a b c (Å): 4.9695 4.9695 4.9695
angles (deg): 60.00 60.00 60.00
Closest atoms and distances in Å follow each position.
Fractional positions:
Pa 0.7500 0.7500 0.7500  4 Pd 3.04, 4 Ir 3.04
Pm 0.2500 0.2500 0.2500  4 Pd 3.04, 4 Ir 3.04
Pd 0.5000 0.5000 0.5000  4 Pa 3.04, 4 Pm 3.04
Ir 0.0000 0.0000 0.0000  4 Pa 3.04, 4 Pm 3.04

***

DFT (PBE) results for a geometry-optimized PmPaIrPd structure.

The density of states at the Fermi level comes out at 3.70 states/eV per cell. The uncorrected energy comes out at -7.87 eV/atom. The formation energy is -0.80 eV per atom. The value obtained for the energy relative to the lowest polymorph listed for this composition is 0.0 kJ per mole of atoms. As for the space group: Amm2, No. 38.

a b c (Å): 3.8037 4.0794 6.2786
angles (deg): 90.00 107.63 90.00
Closest atoms and distances in Å follow each position.
Fractional positions:
Pm 0.1493 0.0000 0.2985  4 Pd 2.93, 1 Ir 2.98
Ir 0.3984 0.0000 0.7969  4 Pa 2.80, 2 Pd 2.94, 1 Pm 2.98
Pa 0.8772 0.5000 0.7545  4 Ir 2.80, 2 Pd 3.04
Pd 0.5751 0.5000 0.1501  4 Pm 2.93, 2 Ir 2.94, 2 Pa 3.04

***

> Which value of uncorrected energy does entry 1 give?

-8.77 eV/atom